## CaPm5O8 (GGA-PBE)

Data for a relaxed structure of CaPm5O8.

```
CaPm5O8
1.0
-3.708 3.708 3.586
3.708 -3.708 3.586
3.708 3.708 -3.586
Ca Pm O
1 5 8
Cartesian
0.000 0.000 0.000 Ca
1.814 -1.088 2.633 Pm
2.620 1.895 0.953 Pm
1.895 4.796 -0.953 Pm
0.000 3.708 1.793 Pm
1.088 1.814 4.539 Pm
5.085 0.458 0.378 O
3.164 2.388 -1.318 O
0.458 2.331 -0.378 O
0.544 1.320 2.267 O
1.320 -0.544 4.904 O
3.251 1.377 3.208 O
2.388 4.252 1.318 O
-1.377 3.251 3.964 O
```

Output
calculated volume = 197.2 Å³ per cell
calculated density = 7.519 g cm⁻³
DOS(E_F) = 2.93 states/eV/f.u.
space group = I-4 (82)
energy relative to the elements, uncorrected = -3.109 eV/atom